[1]
The following is a PBE calculation of a geometry-optimized Ba8Hg2Ir structure, from Alexandria via LeMat-Bulk.

## Properties
Calculated formation energy, eV/atom: -0.234
Total DFT energy (no corrections), Ry/atom: -0.183
Distance to the lowest polymorph of the same formula, meV per atom: 0

a = 7.9067 Å, b = 8.9482 Å, c = 8.9482 Å
α = 72.47°, β = 74.78°, γ = 74.78°
Fractional coordinates of all 11 atoms:
Ir 0.0000 0.0000 0.0000
Ba 0.7536 0.8730 0.8730
Ba 0.2369 0.0586 0.6626
Ba 0.7631 0.9414 0.3375
Ba 0.7631 0.3375 0.9414
Ba 0.2369 0.6626 0.0586
Ba 0.2203 0.5804 0.5804
Ba 0.7797 0.4196 0.4196
Hg 0.4387 0.3187 0.3187
Hg 0.5613 0.6813 0.6813
Ba 0.2464 0.1270 0.1270

[2]
The following is a PBE calculation of a geometry-optimized Ba6HgIr2 structure, from Alexandria via LeMat-Bulk.

## Properties
Calculated formation energy, eV/atom: -0.172
Total DFT energy (no corrections), Ry/atom: -0.254
Distance to the lowest polymorph of the same formula, meV per atom: 41

a = 6.0924 Å, b = 8.3226 Å, c = 10.6504 Å
α = 117.78°, β = 90.00°, γ = 111.47°
Fractional coordinates of all 9 atoms:
Ir 0.8239 0.6477 0.9008
Ir 0.1761 0.3523 0.0992
Ba 0.7061 0.4123 0.0821
Ba 0.0237 0.0475 0.1974
Ba 0.3432 0.6864 0.4010
Ba 0.6568 0.3136 0.5990
Hg 0.0000 0.0000 0.5000
Ba 0.2939 0.5877 0.9179
Ba 0.9763 0.9525 0.8026

[3]
The following is a PBE calculation of a geometry-optimized Ba2HgIr structure, from Alexandria via LeMat-Bulk.

## Properties
Calculated formation energy, eV/atom: 0.048
Total DFT energy (no corrections), Ry/atom: -0.235

a = 8.7312 Å, b = 8.7312 Å, c = 7.2703 Å
α = 53.10°, β = 53.10°, γ = 90.00°
Fractional coordinates of all 8 atoms:
Hg 0.7500 0.2500 0.5000
Hg 0.0000 0.0000 0.0000
Ba 0.1761 0.6250 0.2500
Ba 0.3750 0.4261 0.7500
Ir 0.2500 0.7500 0.5000
Ba 0.5739 0.1250 0.2500
Ba 0.8750 0.8239 0.7500
Ir 0.5000 0.5000 0.0000